Record 1
# GGA-PBEsol BeHg, optimized geometry
# Mass density: 10.8 Mg/m³
# ΔE_f: 0.408 eV per atom
# Calculated total energy: -1.876 eV per atom
# Relative energy among the computed polymorphs: 37.6 meV per atom
data_BeHg
_chemical_formula_sum 'Be1 Hg1'
_cell_length_a 3.6206
_cell_length_b 3.6206
_cell_length_c 2.8409
_cell_angle_alpha 90.00
_cell_angle_beta 90.00
_cell_angle_gamma 120.00
_symmetry_space_group_name_H-M 'P -6 m 2'
_symmetry_Int_Tables_number 187
_symmetry_space_group_name_Hall 'P -6 2'
loop_
_atom_site_label
_atom_site_type_symbol
_atom_site_fract_x
_atom_site_fract_y
_atom_site_fract_z
Be1 Be 0.0000 0.0000 0.0000
Hg1 Hg 0.3333 0.6667 0.5000

Record 2
# GGA-PBEsol Sr4LiIn, optimized geometry
# Mass density: 3.0 Mg/m³
# ΔE_f: 0.344 eV per atom
# Calculated total energy: -1.708 eV per atom
data_Sr4LiIn
_chemical_formula_sum 'Sr16 Li4 In4'
_cell_length_a 10.2024
_cell_length_b 10.2024
_cell_length_c 10.2024
_cell_angle_alpha 90.00
_cell_angle_beta 90.00
_cell_angle_gamma 90.00
_symmetry_space_group_name_H-M 'F -4 3 m'
_symmetry_Int_Tables_number 216
_symmetry_space_group_name_Hall 'F -4 2 3'
loop_
_atom_site_label
_atom_site_type_symbol
_atom_site_fract_x
_atom_site_fract_y
_atom_site_fract_z
Sr1 Sr 0.1244 0.1244 0.3756
Li1 Li 0.0000 0.0000 0.0000
In1 In 0.2500 0.2500 0.7500

Record 3
# GGA-PBEsol Li2Pb, optimized geometry
# Mass density: 6.2 Mg/m³
# ΔE_f: -0.316 eV per atom
# Calculated total energy: -2.960 eV per atom
data_Li2Pb
_chemical_formula_sum 'Li2 Pb1'
_cell_length_a 4.6772
_cell_length_b 4.6772
_cell_length_c 3.1356
_cell_angle_alpha 90.00
_cell_angle_beta 90.00
_cell_angle_gamma 120.00
_symmetry_space_group_name_H-M 'P -3 m 1'
_symmetry_Int_Tables_number 164
_symmetry_space_group_name_Hall '-P 3 2"'
loop_
_atom_site_label
_atom_site_type_symbol
_atom_site_fract_x
_atom_site_fract_y
_atom_site_fract_z
Li1 Li 0.3333 0.6667 0.1210
Pb1 Pb 0.0000 0.0000 0.5000

Record 4
# GGA-PBEsol In2CoTc, optimized geometry
# Mass density: 10.0 Mg/m³
# ΔE_f: 0.235 eV per atom
# Calculated total energy: -6.007 eV per atom
# Relative energy among the computed polymorphs: 40.2 meV per atom
data_In2CoTc
_chemical_formula_sum 'In4 Co2 Tc2'
_cell_length_a 10.1950
_cell_length_b 2.8523
_cell_length_c 4.7584
_cell_angle_alpha 90.00
_cell_angle_beta 111.88
_cell_angle_gamma 90.00
_symmetry_space_group_name_H-M 'C 1 m 1'
_symmetry_Int_Tables_number 8
_symmetry_space_group_name_Hall 'C -2y'
loop_
_atom_site_label
_atom_site_type_symbol
_atom_site_fract_x
_atom_site_fract_y
_atom_site_fract_z
In1 In 0.0000 0.0000 0.0000
In2 In 0.2102 0.0000 0.6168
Co1 Co 0.2514 0.5000 0.1239
Tc1 Tc 0.4479 0.0000 0.4674

Record 5
# GGA-PBEsol ScFeSb, optimized geometry
# Mass density: 7.0 Mg/m³
# Calculated total energy: -7.062 eV per atom
# Formation energy (no corrections): -0.353 eV/atom
data_ScFeSb
_chemical_formula_sum 'Sc1 Fe1 Sb1'
_cell_length_a 4.3180
_cell_length_b 4.3180
_cell_length_c 3.2899
_cell_angle_alpha 90.00
_cell_angle_beta 90.00
_cell_angle_gamma 120.00
_symmetry_space_group_name_H-M 'P -6 m 2'
_symmetry_Int_Tables_number 187
_symmetry_space_group_name_Hall 'P -6 2'
loop_
_atom_site_label
_atom_site_type_symbol
_atom_site_fract_x
_atom_site_fract_y
_atom_site_fract_z
Sc1 Sc 0.0000 0.0000 0.0000
Fe1 Fe 0.3333 0.6667 0.5000
Sb1 Sb 0.6667 0.3333 0.5000

Record 6
# GGA-PBEsol Rb3PSe, optimized geometry
# Mass density: 2.3 Mg/m³
# Calculated total energy: -2.679 eV per atom
# Formation energy (no corrections): -0.136 eV/atom
data_Rb3PSe
_chemical_formula_sum 'Rb3 P1 Se1'
_cell_length_a 6.4224
_cell_length_b 6.4224
_cell_length_c 6.4224
_cell_angle_alpha 90.00
_cell_angle_beta 90.00
_cell_angle_gamma 90.00
_symmetry_space_group_name_H-M 'P m -3 m'
_symmetry_Int_Tables_number 221
_symmetry_space_group_name_Hall '-P 4 2 3'
loop_
_atom_site_label
_atom_site_type_symbol
_atom_site_fract_x
_atom_site_fract_y
_atom_site_fract_z
Rb1 Rb 0.0000 0.0000 0.5000
P1 P 0.5000 0.5000 0.5000
Se1 Se 0.0000 0.0000 0.0000